The following is a DFT calculation (PBE) of Ba2CuNiC after structural relaxation.

a = 5.8383 Å, b = 5.8383 Å, c = 3.6525 Å
α = 90.00°, β = 90.00°, γ = 90.00°
Last column: nearest neighbours and their distance in Å.
Fractional coordinates of all 5 atoms:
Ba  0.5000  0.0000  0.0000  2 C 2.92
Ba  0.0000  0.5000  0.0000  2 C 2.92
Ni  0.0000  0.0000  0.5000  2 C 1.83
Cu  0.5000  0.5000  0.5000  8 Ba 3.44, 2 Cu 3.65
C  0.0000  0.0000  0.0000  2 Ni 1.83

Space group   P4/mmm, No. 123
Calculated total energy   -4.446 eV/atom
ΔH_f (0 K)   143 meV per atom
M_tot   0.00 μB/cell

---

The following is a DFT calculation (PBE) of CdAg4 after structural relaxation.

a = 6.6702 Å, b = 6.6702 Å, c = 5.1504 Å
α = 49.64°, β = 49.64°, γ = 90.00°
Last column: nearest neighbours and their distance in Å.
Fractional coordinates of all 5 atoms:
Ag  0.1984  0.4002  0.0000  9 Ag 2.94-3.00, 3 Cd 2.96-2.98
Ag  0.8016  0.5998  0.0000  9 Ag 2.94-3.00, 3 Cd 2.96-2.98
Ag  0.4002  0.8016  0.0000  9 Ag 2.94-3.00, 3 Cd 2.96-2.98
Ag  0.5998  0.1984  0.0000  9 Ag 2.94-3.00, 3 Cd 2.96-2.98
Cd  0.0000  0.0000  0.0000  12 Ag 2.96-2.98

ΔE to the lowest computed polymorph   0 meV/atom
Space group   I4/m, No. 87
Calculated total energy   -2.491 eV/atom
ΔH_f (0 K)   -27 meV per atom
M_tot   0.00 μB/cell

---

The following is a DFT calculation (PBE) of AsP4Pt after structural relaxation.

a = 5.1121 Å, b = 5.1121 Å, c = 5.1121 Å
α = 60.00°, β = 60.00°, γ = 60.00°
Last column: nearest neighbours and their distance in Å.
Fractional coordinates of all 6 atoms:
P  0.3793  0.8620  0.3793  6 P 2.47-2.64
P  0.3793  0.3793  0.8620  6 P 2.47-2.64
P  0.3793  0.3793  0.3793  6 P 2.47-2.64
P  0.8620  0.3793  0.3793  6 P 2.47-2.64
As  0.0000  0.0000  0.0000  12 P 3.01, 4 Pt 3.13
Pt  0.7500  0.7500  0.7500  12 P 2.99, 4 As 3.13

Space group   F-43m, No. 216
Calculated total energy   -4.609 eV/atom
ΔH_f (0 K)   780 meV per atom
M_tot   0.00 μB/cell

---

The following is a DFT calculation (PBE) of Ac2ErTmSe4 after structural relaxation.

a = 4.0925 Å, b = 7.1191 Å, c = 7.8069 Å
α = 107.57°, β = 90.00°, γ = 90.00°
Last column: nearest neighbours and their distance in Å.
Fractional coordinates of all 8 atoms:
Se  0.5000  0.7634  0.7862  2 Tm 2.85, 1 Er 2.86, 3 Ac 3.18-3.19
Se  0.0000  0.7388  0.2144  1 Tm 2.85, 2 Er 2.86, 3 Ac 3.18-3.19
Se  0.5000  0.2366  0.2138  2 Tm 2.85, 1 Er 2.86, 3 Ac 3.18-3.19
Se  0.0000  0.2612  0.7856  1 Tm 2.85, 2 Er 2.86, 3 Ac 3.18-3.19
Ac  0.5000  0.0000  0.5000  6 Se 3.18
Ac  0.0000  0.5000  0.5000  6 Se 3.19
Er  0.5000  0.5000  0.0000  6 Se 2.86
Tm  0.0000  0.0000  0.0000  6 Se 2.85

Space group   P2/m, No. 10
Calculated total energy   -5.672 eV/atom
Formation energy from raw total energies   -1.773 eV/atom
M_tot   0.00 μB/cell